*P*
{"formula": "Cr2P2Pb", "functional": "PBE", "state": "optimized geometry", "lattice_angstrom": [[3.4723, 0.0000, 0.0000], [0.0000, 3.4723, 0.0000], [1.7362, 1.7362, 6.1642]], "species": ["P", "P", "Pb", "Cr", "Cr"], "frac_coords": [[0.7500, 0.2500, 0.5000], [0.2500, 0.7500, 0.5000], [0.0000, 0.0000, 0.0000], [0.3763, 0.3763, 0.2475], [0.6237, 0.6237, 0.7525]], "crystal_system": "tetragonal", "sg": "I4/mmm (139)"}


*Q*
{"formula": "Cr2P2Pb", "functional": "PBE", "state": "optimized geometry", "lattice_angstrom": [[-3.6728, 3.5694, -5.0126], [4.7238, -2.1057, -4.9606], [-1.6449, -2.4386, -0.5312]], "species": ["P", "P", "P", "P", "Pb", "Pb", "Cr", "Cr", "Cr", "Cr"], "frac_coords": [[0.1327, 0.6327, 0.5000], [0.6327, 0.8673, 0.5000], [0.3673, 0.1327, 0.5000], [0.8673, 0.3673, 0.5000], [0.5000, 0.5000, 0.0000], [0.0000, 0.0000, 0.0000], [0.1360, 0.3640, 0.0000], [0.6360, 0.1360, 0.0000], [0.8640, 0.6360, 0.0000], [0.3640, 0.8640, 0.0000]], "crystal_system": "tetragonal", "sg": "P4/mbm (127)"}


Name the least stable of them. *Q*.


*P*
{"formula": "CrPPbS2", "functional": "PBE", "state": "optimized geometry", "lattice_angstrom": [[5.2026, 0.0000, 0.0000], [0.0000, 5.2026, 0.0000], [0.0000, 0.0000, 5.1756]], "species": ["S", "S", "Pb", "P", "Cr"], "frac_coords": [[0.5000, 0.0000, 0.0000], [0.0000, 0.5000, 0.0000], [0.0000, 0.0000, 0.0000], [0.0000, 0.0000, 0.5000], [0.5000, 0.5000, 0.5000]], "crystal_system": "tetragonal", "sg": "P4/mmm (123)"}


*Q*
{"formula": "CrPPbS2", "functional": "PBE", "state": "optimized geometry", "lattice_angstrom": [[-1.6480, -3.1503, 3.1545], [3.8664, -2.6843, -0.6609], [2.1238, 2.2361, 3.3425]], "species": ["Cr", "P", "S", "S", "Pb"], "frac_coords": [[0.0000, 0.0000, 0.0000], [0.0000, 0.0000, 0.5000], [0.5000, 0.0000, 0.0000], [0.0000, 0.5000, 0.0000], [0.5000, 0.5000, 0.5000]], "crystal_system": "tetragonal", "sg": "P4/mmm (123)"}


Name the least stable of them. *P*.


*P*
{"formula": "CrP2Pd", "functional": "PBE", "state": "optimized geometry", "lattice_angstrom": [[1.0233, -3.1172, 2.7166], [-2.5581, -3.3793, 0.4254], [1.2268, -3.8000, -1.4830]], "species": ["P", "P", "Cr", "Pd"], "frac_coords": [[0.2500, 0.2500, 0.2500], [0.7500, 0.7500, 0.7500], [0.0000, 0.0000, 0.0000], [0.5000, 0.5000, 0.5000]], "crystal_system": "cubic", "sg": "Fm-3m (225)"}


*Q*
{"formula": "CrP2Pd", "functional": "PBE", "state": "optimized geometry", "lattice_angstrom": [[-4.4147, -1.9756, -2.2372], [-1.6910, -1.6359, 4.7814], [-5.4637, 2.7732, 1.9861]], "species": ["P", "P", "P", "P", "Cr", "Cr", "Pd", "Pd"], "frac_coords": [[0.8750, 0.8565, 0.7500], [0.1435, 0.6250, 0.2500], [0.6065, 0.1250, 0.2500], [0.3750, 0.3935, 0.7500], [0.2500, 0.7500, 0.5000], [0.5000, 0.5000, 0.0000], [0.7500, 0.2500, 0.5000], [0.0000, 0.0000, 0.0000]], "crystal_system": "tetragonal", "sg": "I-42d (122)"}


Name the least stable of them. *P*.


*P*
{"formula": "CrP2Pt", "functional": "PBE", "state": "optimized geometry", "lattice_angstrom": [[3.3875, 0.0000, 0.0000], [0.0000, 3.3875, 0.0000], [0.0000, 0.0000, 4.9768]], "species": ["P", "P", "Cr", "Pt"], "frac_coords": [[0.5000, 0.5000, 0.3132], [0.0000, 0.0000, 0.9353], [0.5000, 0.5000, 0.8074], [0.0000, 0.0000, 0.4441]], "crystal_system": "tetragonal", "sg": "P4mm (99)"}


*Q*
{"formula": "CrP2Pt", "functional": "PBE", "state": "optimized geometry", "lattice_angstrom": [[-1.9804, 1.7496, 3.2180], [-3.9887, 0.4967, 1.0872], [-0.7619, -3.6433, 2.8604]], "species": ["Cr", "Pt", "P", "P"], "frac_coords": [[0.7278, 0.7278, 0.8941], [0.5030, 0.5030, 0.4780], [0.2507, 0.2507, 0.2529], [0.0185, 0.0185, 0.8751]], "crystal_system": "monoclinic", "sg": "Cm (8)"}


*R*
{"formula": "CrP2Pt", "functional": "PBE", "state": "optimized geometry", "lattice_angstrom": [[4.3573, 0.0000, 0.0000], [2.1786, 3.7735, 0.0000], [2.1786, 1.2578, 3.5577]], "species": ["P", "P", "Pt", "Cr"], "frac_coords": [[0.0000, 0.0000, 0.0000], [0.2500, 0.2500, 0.2500], [0.7500, 0.7500, 0.7500], [0.5000, 0.5000, 0.5000]], "crystal_system": "cubic", "sg": "F-43m (216)"}


*S*
{"formula": "CrP2Pt", "functional": "PBE", "state": "optimized geometry", "lattice_angstrom": [[-1.2304, -4.2671, 3.3899], [-0.7562, -5.4061, -1.1897], [3.3054, 4.4410, -0.7517]], "species": ["Pt", "Cr", "P", "P"], "frac_coords": [[0.4654, 0.4654, 0.0000], [0.2062, 0.7062, 0.5000], [0.0464, 0.0464, 0.0000], [0.7820, 0.2820, 0.5000]], "crystal_system": "orthorhombic", "sg": "Imm2 (44)"}


Name the least stable of them. *R*.


*P*
{"formula": "Cr3PPt", "functional": "PBE", "state": "optimized geometry", "lattice_angstrom": [[4.2275, 0.0000, 0.0000], [0.0000, 4.2275, 0.0000], [0.0000, 0.0000, 4.2275]], "species": ["Cr", "Cr", "Cr", "Pt", "P"], "frac_coords": [[0.0000, 0.0000, 0.5000], [0.5000, 0.0000, 0.0000], [0.0000, 0.5000, 0.0000], [0.5000, 0.5000, 0.5000], [0.0000, 0.0000, 0.0000]], "crystal_system": "cubic", "sg": "Pm-3m (221)"}


*Q*
{"formula": "Cr3PPt", "functional": "PBE", "state": "optimized geometry", "lattice_angstrom": [[-1.7525, 3.4178, 2.9250], [-4.2756, -0.2894, -2.2235], [-1.3987, -3.3975, 3.1319]], "species": ["P", "Cr", "Cr", "Cr", "Pt"], "frac_coords": [[0.5000, 0.5000, 0.5000], [0.5000, 0.0000, 0.0000], [0.0000, 0.0000, 0.5000], [0.0000, 0.5000, 0.0000], [0.0000, 0.0000, 0.0000]], "crystal_system": "cubic", "sg": "Pm-3m (221)"}


Name the least stable of them. *Q*.


*P*
{"formula": "RbCrP2", "functional": "PBE", "state": "optimized geometry", "lattice_angstrom": [[0.0000, 3.4446, 3.4446], [3.4446, 0.0000, 3.4446], [3.4446, 3.4446, 0.0000]], "species": ["Rb", "P", "P", "Cr"], "frac_coords": [[0.5000, 0.5000, 0.5000], [0.2500, 0.2500, 0.2500], [0.7500, 0.7500, 0.7500], [0.0000, 0.0000, 0.0000]], "crystal_system": "cubic", "sg": "Fm-3m (225)"}


*Q*
{"formula": "RbCrP2", "functional": "PBE", "state": "optimized geometry", "lattice_angstrom": [[5.9768, 0.0000, 0.0000], [0.0000, 5.9768, 0.0000], [2.9884, 2.9884, 6.2026]], "species": ["Cr", "Cr", "P", "P", "P", "P", "Rb", "Rb"], "frac_coords": [[0.2500, 0.7500, 0.5000], [0.5000, 0.5000, 0.0000], [0.3746, 0.1250, 0.2500], [0.3754, 0.6250, 0.2500], [0.8750, 0.6246, 0.7500], [0.3750, 0.6254, 0.7500], [0.7500, 0.2500, 0.5000], [0.0000, 0.0000, 0.0000]], "crystal_system": "tetragonal", "sg": "I4_1/amd (141)"}


Name the least stable of them. *P*.


*P*
{"formula": "RbCrP3", "functional": "PBE", "state": "optimized geometry", "lattice_angstrom": [[-1.6556, -4.6374, 1.5013], [1.3063, -1.9496, -4.5818], [4.6961, -1.0926, 1.8038]], "species": ["P", "P", "P", "Rb", "Cr"], "frac_coords": [[0.5000, 0.0000, 0.0000], [0.0000, 0.5000, 0.0000], [0.0000, 0.0000, 0.5000], [0.0000, 0.0000, 0.0000], [0.5000, 0.5000, 0.5000]], "crystal_system": "cubic", "sg": "Pm-3m (221)"}


*Q*
{"formula": "RbCrP3", "functional": "PBE", "state": "optimized geometry", "lattice_angstrom": [[-2.0999, 3.4282, -2.3127], [-0.6502, -2.8352, -3.6124], [-4.0840, -1.3113, 1.7642]], "species": ["Rb", "Cr", "P", "P", "P"], "frac_coords": [[0.5000, 0.5000, 0.5000], [0.0000, 0.0000, 0.0000], [0.0000, 0.0000, 0.5000], [0.5000, 0.0000, 0.0000], [0.0000, 0.5000, 0.0000]], "crystal_system": "cubic", "sg": "Pm-3m (221)"}


Name the least stable of them. *P*.


*P*
{"formula": "RbCrPS2", "functional": "PBE", "state": "optimized geometry", "lattice_angstrom": [[-1.5817, -0.5188, 4.4401], [4.3131, -1.4150, 1.3711], [1.1226, 4.2956, 0.9018]], "species": ["P", "Cr", "Rb", "S", "S"], "frac_coords": [[0.0000, 0.0000, 0.5000], [0.0000, 0.0000, 0.0000], [0.5000, 0.5000, 0.5000], [0.0000, 0.5000, 0.0000], [0.5000, 0.0000, 0.0000]], "crystal_system": "tetragonal", "sg": "P4/mmm (123)"}


*Q*
{"formula": "RbCrPS2", "functional": "PBE", "state": "optimized geometry", "lattice_angstrom": [[5.7949, 0.0000, 0.0000], [0.0000, 5.7949, 0.0000], [0.0000, 0.0000, 6.0127]], "species": ["S", "S", "P", "Rb", "Cr"], "frac_coords": [[0.0000, 0.5000, 0.0000], [0.5000, 0.0000, 0.0000], [0.0000, 0.0000, 0.5000], [0.0000, 0.0000, 0.0000], [0.5000, 0.5000, 0.5000]], "crystal_system": "tetragonal", "sg": "P4/mmm (123)"}


Name the least stable of them. *Q*.